[1]
Crystalline CsPdAu3 at its relaxed geometry, computed with GGA-PBE.

The calculation puts the total DFT energy (no corrections) at -15.19 eV for the cell shown. For the formation energy, the calculation gives 0.1386 eV per atom. The value obtained for the energy relative to the lowest polymorph listed for this composition is 0 meV per atom. As for the crystal system: cubic. The density of states at the Fermi level comes out at 2.20 states/eV/f.u.

The space group is Pm-3m (No. 221) and the conventional cell measures 5.2488, 5.2488 and 5.2488 Å, with angles of 90.00, 90.00 and 90.00 degrees. The asymmetric unit holds Cs at (0.0000, 0.0000, 0.0000), Pd at (0.5000, 0.5000, 0.5000) and Au at (0.0000, 0.5000, 0.5000).

***

[2]
Crystalline Cs3PdAu at its relaxed geometry, computed with GGA-PBE.

The calculation puts the total DFT energy (no corrections) at -46.23 eV for the cell shown. For the formation energy, the calculation gives -0.1053 eV per atom. The value obtained for the energy relative to the lowest polymorph listed for this composition is 0 meV per atom. As for the crystal system: monoclinic. The density of states at the Fermi level comes out at 2.12 states/eV/f.u.

The space group is C2/m (No. 12) and the conventional cell measures 15.1712, 5.8077 and 10.9690 Å, with angles of 90.00, 104.38 and 90.00 degrees. The asymmetric unit holds Cs at (0.0891, 0.0000, 0.2313), Cs at (0.1418, 0.5000, 0.5066), Cs at (0.1446, 0.5000, 0.8844), Pd at (0.0710, 0.0000, 0.5994) and Au at (0.2416, 0.0000, 0.7555).

***

[3]
Crystalline Cs6PdAu3 at its relaxed geometry, computed with GGA-PBE.

The calculation puts the total DFT energy (no corrections) at -43.47 eV for the cell shown. For the formation energy, the calculation gives -0.1588 eV per atom. As for the crystal system: monoclinic. The density of states at the Fermi level comes out at 4.90 states/eV/f.u.

The space group is P2_1/m (No. 11) and the conventional cell measures 12.9284, 5.2556 and 15.8760 Å, with angles of 90.00, 112.25 and 90.00 degrees. The asymmetric unit holds Cs at (0.0251, 0.2500, 0.3850), Cs at (0.0783, 0.2500, 0.9155), Cs at (0.2563, 0.7500, 0.3266), Cs at (0.3402, 0.7500, 0.1021), Cs at (0.3674, 0.7500, 0.8017), Cs at (0.4061, 0.2500, 0.5822), Pd at (0.3912, 0.2500, 0.2773), Au at (0.1590, 0.2500, 0.1635), Au at (0.1935, 0.7500, 0.5334) and Au at (0.4173, 0.2500, 0.9683).

***

[4]
Crystalline Cs3PdAu at its relaxed geometry, computed with GGA-PBE.

The calculation puts the total DFT energy (no corrections) at -11.04 eV for the cell shown. For the formation energy, the calculation gives -0.0024 eV per atom. The value obtained for the energy relative to the lowest polymorph listed for this composition is 103 meV per atom. As for the crystal system: cubic. The density of states at the Fermi level comes out at 0.60 states/eV/f.u.

The space group is Pm-3m (No. 221) and the conventional cell measures 6.6172, 6.6172 and 6.6172 Å, with angles of 90.00, 90.00 and 90.00 degrees. The asymmetric unit holds Cs at (0.0000, 0.0000, 0.5000), Pd at (0.0000, 0.0000, 0.0000) and Au at (0.5000, 0.5000, 0.5000).

***

[5]
Crystalline Cs2PdAu at its relaxed geometry, computed with GGA-PBE.

The calculation puts the total DFT energy (no corrections) at -36.54 eV for the cell shown. For the formation energy, the calculation gives 0.2609 eV per atom. The value obtained for the energy relative to the lowest polymorph listed for this composition is 0 meV per atom. As for the crystal system: tetragonal. The density of states at the Fermi level comes out at 0.30 states/eV/f.u.

The space group is I-42d (No. 122) and the conventional cell measures 7.8128, 7.8128 and 15.2470 Å, with angles of 90.00, 90.00 and 90.00 degrees. The asymmetric unit holds Cs at (0.2111, 0.2500, 0.1250), Pd at (0.0000, 0.0000, 0.0000) and Au at (0.0000, 0.0000, 0.5000).

***

[6]
Crystalline Cs4PdAu at its relaxed geometry, computed with GGA-PBE.

The calculation puts the total DFT energy (no corrections) at -24.57 eV for the cell shown. For the formation energy, the calculation gives -0.0671 eV per atom. As for the crystal system: monoclinic. The density of states at the Fermi level comes out at 4.83 states/eV/f.u.

The space group is C2/m (No. 12) and the conventional cell measures 10.5521, 6.1075 and 10.5248 Å, with angles of 90.00, 109.60 and 90.00 degrees. The asymmetric unit holds Cs at (0.1199, 0.0000, 0.3611), Cs at (0.1294, 0.5000, 0.8886), Pd at (0.0000, 0.0000, 0.0000) and Au at (0.0000, 0.5000, 0.5000).

***

[7]
Crystalline Cs2PdAu at its relaxed geometry, computed with GGA-PBE.

The calculation puts the total DFT energy (no corrections) at -26.89 eV for the cell shown. For the formation energy, the calculation gives 0.3039 eV per atom. The value obtained for the energy relative to the lowest polymorph listed for this composition is 43 meV per atom. As for the crystal system: trigonal. The density of states at the Fermi level comes out at 1.03 states/eV/f.u.

The space group is R-3m (No. 166, hexagonal axes) and the conventional cell measures 4.6671, 4.6671 and 32.0226 Å, with angles of 90.00, 90.00 and 120.00 degrees. The asymmetric unit holds Cs at (0.0000, 0.0000, 0.0940), Pd at (0.0000, 0.0000, 0.0000) and Au at (0.0000, 0.0000, 0.5000).

***

[8]
Crystalline CsPdAu at its relaxed geometry, computed with GGA-PBE.

The calculation puts the total DFT energy (no corrections) at -9.43 eV for the cell shown. For the formation energy, the calculation gives -0.0358 eV per atom. The value obtained for the energy relative to the lowest polymorph listed for this composition is 130 meV per atom. As for the crystal system: hexagonal. The density of states at the Fermi level comes out at 0.67 states/eV/f.u.

The space group is P-6m2 (No. 187) and the conventional cell measures 4.5621, 4.5621 and 5.4603 Å, with angles of 90.00, 90.00 and 120.00 degrees. The asymmetric unit holds Cs at (0.0000, 0.0000, 0.0000), Pd at (0.3333, 0.6667, 0.5000) and Au at (0.6667, 0.3333, 0.5000).

***

[9]
Crystalline Cs2Pd2Au at its relaxed geometry, computed with GGA-PBE.

The calculation puts the total DFT energy (no corrections) at -28.67 eV for the cell shown. For the formation energy, the calculation gives 0.2074 eV per atom. The value obtained for the energy relative to the lowest polymorph listed for this composition is 362 meV per atom. As for the crystal system: tetragonal. The density of states at the Fermi level comes out at 9.39 states/eV/f.u.

The space group is I4/mmm (No. 139) and the conventional cell measures 6.7741, 6.7741 and 7.8979 Å, with angles of 90.00, 90.00 and 90.00 degrees. The asymmetric unit holds Cs at (0.0000, 0.5000, 0.2500), Pd at (0.0000, 0.0000, 0.1639) and Au at (0.0000, 0.0000, 0.5000).

***

[10]
Crystalline Cs2Pd2Au at its relaxed geometry, computed with GGA-PBE.

The calculation puts the total DFT energy (no corrections) at -48.43 eV for the cell shown. For the formation energy, the calculation gives -0.1549 eV per atom. The value obtained for the energy relative to the lowest polymorph listed for this composition is 0 meV per atom. As for the crystal system: trigonal. The density of states at the Fermi level comes out at 3.33 states/eV/f.u.

The space group is R-3m (No. 166, hexagonal axes) and the conventional cell measures 4.7351, 4.7351 and 32.3674 Å, with angles of 90.00, 90.00 and 120.00 degrees. The asymmetric unit holds Cs at (0.0000, 0.0000, 0.0791), Pd at (0.0000, 0.0000, 0.1749) and Au at (0.0000, 0.0000, 0.5000).

***

[11]
Crystalline CsPdAu3 at its relaxed geometry, computed with GGA-PBE.

The calculation puts the total DFT energy (no corrections) at -7.76 eV for the cell shown. For the formation energy, the calculation gives 1.6228 eV per atom. The value obtained for the energy relative to the lowest polymorph listed for this composition is 1484 meV per atom. As for the crystal system: cubic. The density of states at the Fermi level comes out at 13.94 states/eV/f.u.

The space group is Pm-3m (No. 221) and the conventional cell measures 6.0239, 6.0239 and 6.0239 Å, with angles of 90.00, 90.00 and 90.00 degrees. The asymmetric unit holds Cs at (0.0000, 0.0000, 0.0000), Pd at (0.5000, 0.5000, 0.5000) and Au at (0.0000, 0.0000, 0.5000).

***

[12]
Crystalline Cs2RbPdAu at its relaxed geometry, computed with GGA-PBE.

The calculation puts the total DFT energy (no corrections) at -11.08 eV for the cell shown. For the formation energy, the calculation gives 0.0138 eV per atom. The value obtained for the energy relative to the lowest polymorph listed for this composition is 0 meV per atom. As for the crystal system: tetragonal. The density of states at the Fermi level comes out at 0.39 states/eV/f.u.

The space group is P4/mmm (No. 123) and the conventional cell measures 6.6094, 6.6094 and 6.3776 Å, with angles of 90.00, 90.00 and 90.00 degrees. The asymmetric unit holds Cs at (0.0000, 0.5000, 0.0000), Rb at (0.0000, 0.0000, 0.5000), Pd at (0.0000, 0.0000, 0.0000) and Au at (0.5000, 0.5000, 0.5000).